1.
This record from the Alexandria database describes crystalline TcHgCl at its relaxed geometry. The functional is PBEsol.

abc: 4.3917 4.3917 3.1455
angles: 90.00 90.00 120.00
Last column: nearest neighbours and their distance in Å.
Space group P-6m2 (No. 187)
Asymmetric unit:
1 Tc 0.0000 0.0000 0.0000  3 Cl 2.54
2 Hg 0.6667 0.3333 0.5000  6 Tc 2.98, 6 Cl 2.98, 2 Hg 3.15
3 Cl 0.3333 0.6667 0.0000  3 Tc 2.54



2.
This record from the Alexandria database describes crystalline Zr2TcHgCl at its relaxed geometry. The functional is PBEsol.

abc: 5.2527 5.2527 4.9578
angles: 90.00 90.00 90.00
Last column: nearest neighbours and their distance in Å.
Space group P4/mmm (No. 123)
Asymmetric unit:
1 Zr 0.0000 0.5000 0.0000  2 Hg 2.63
2 Tc 0.0000 0.0000 0.5000  2 Hg 2.48
3 Hg 0.0000 0.0000 0.0000  2 Tc 2.48, 4 Zr 2.63
4 Cl 0.5000 0.5000 0.5000  8 Zr 3.61, 4 Tc 3.71



3.
This record from the Alexandria database describes crystalline HgTeCl at its relaxed geometry. The functional is PBEsol.

abc: 6.9091 6.9091 6.9091
angles: 90.00 90.00 90.00
Last column: nearest neighbours and their distance in Å.
Space group F-43m (No. 216)
Asymmetric unit:
1 Hg 0.0000 0.0000 0.0000  4 Cl 2.99, 4 Te 2.99
2 Te 0.2500 0.2500 0.7500  4 Hg 2.99
3 Cl 0.2500 0.2500 0.2500  4 Hg 2.99

Results
E above lowest polymorph in meV per atom: 74



4.
This record from the Alexandria database describes crystalline HgTe2Cl at its relaxed geometry. The functional is PBEsol.

abc: 11.8244 3.7033 5.0038
angles: 90.00 101.84 90.00
Last column: nearest neighbours and their distance in Å.
Space group C2/m (No. 12)
Asymmetric unit:
1 Hg 0.0000 0.0000 0.0000  4 Te 2.96, 4 Cl 3.11
2 Te 0.1973 0.5000 0.1696  2 Te 2.96, 2 Hg 2.96, 1 Cl 3.12
3 Cl 0.0000 0.5000 0.5000  4 Hg 3.11, 2 Te 3.12

Results
E above lowest polymorph in meV per atom: 0



5.
This record from the Alexandria database describes crystalline HgTe2Cl at its relaxed geometry. The functional is PBEsol.

abc: 3.1414 3.1414 9.8710
angles: 90.00 90.00 90.00
Last column: nearest neighbours and their distance in Å.
Space group P4/mmm (No. 123)
Asymmetric unit:
1 Hg 0.0000 0.0000 0.0000  4 Hg 3.14, 8 Te 3.47
2 Te 0.5000 0.5000 0.2698  4 Te 3.14, 4 Cl 3.18, 4 Hg 3.47
3 Cl 0.0000 0.0000 0.5000  4 Cl 3.14, 8 Te 3.18

Results
E above lowest polymorph in meV per atom: 236



6.
This record from the Alexandria database describes crystalline HgTe2Cl at its relaxed geometry. The functional is PBEsol.

abc: 6.4039 9.8305 3.3020
angles: 90.00 109.95 90.00
Last column: nearest neighbours and their distance in Å.
Space group C2/m (No. 12)
Asymmetric unit:
1 Hg 0.0000 0.0000 0.0000  4 Te 3.09, 2 Cl 3.20, 2 Hg 3.30
2 Te 0.2500 0.2500 0.5000  2 Hg 3.09, 2 Cl 3.09, 4 Te 3.20-3.30
3 Cl 0.0000 0.5000 0.0000  4 Te 3.09, 2 Hg 3.20, 2 Cl 3.30

Results
E above lowest polymorph in meV per atom: 164



7.
This record from the Alexandria database describes crystalline HgTe2Cl at its relaxed geometry. The functional is PBEsol.

abc: 4.1204 4.1204 13.6072
angles: 90.00 90.00 90.00
Last column: nearest neighbours and their distance in Å.
Space group I4/mmm (No. 139)
Asymmetric unit:
1 Hg 0.0000 0.0000 0.0000  4 Cl 2.91
2 Te 0.0000 0.5000 0.2500  4 Te 2.91
3 Cl 0.0000 0.0000 0.5000  4 Hg 2.91

Results
E above lowest polymorph in meV per atom: 114



8.
This record from the Alexandria database describes crystalline Hg2TeCl at its relaxed geometry. The functional is PBEsol.

abc: 4.0303 4.0303 13.0743
angles: 90.00 90.00 90.00
Last column: nearest neighbours and their distance in Å.
Space group I-4m2 (No. 119)
Asymmetric unit:
1 Hg 0.0000 0.0000 0.0000  4 Te 2.85
2 Hg 0.0000 0.5000 0.2500  4 Cl 2.85
3 Te 0.0000 0.0000 0.5000  4 Hg 2.85
4 Cl 0.0000 0.5000 0.7500  4 Hg 2.85



9.
This record from the Alexandria database describes crystalline HgTeCl at its relaxed geometry. The functional is PBEsol.

abc: 3.3476 3.3476 13.2259
angles: 90.00 90.00 90.00
Last column: nearest neighbours and their distance in Å.
Space group I4mm (No. 107)
Asymmetric unit:
1 Hg 0.0000 0.0000 0.0000  4 Cl 2.86, 4 Te 3.19
2 Te 0.0000 0.0000 0.6614  4 Hg 3.19, 4 Te 3.35
3 Cl 0.0000 0.0000 0.3781  4 Hg 2.86

Results
E above lowest polymorph in meV per atom: 0



10.
This record from the Alexandria database describes crystalline TlHg2Cl at its relaxed geometry. The functional is PBEsol.

abc: 5.2568 5.2568 12.9723
angles: 90.00 90.00 120.00
Last column: nearest neighbours and their distance in Å.
Space group R3m (No. 160, hexagonal axes)
Asymmetric unit:
1 Tl 0.0000 0.0000 0.0000  4 Cl 3.22-3.25, 4 Hg 3.22-3.23
2 Hg 0.0000 0.0000 0.5003  4 Hg 3.22-3.25, 4 Cl 3.22-3.24
3 Hg 0.0000 0.0000 0.7506  4 Hg 3.22-3.25, 4 Tl 3.22-3.23
4 Cl 0.0000 0.0000 0.2503  4 Tl 3.22-3.25, 4 Hg 3.22-3.24

Results
E above lowest polymorph in meV per atom: 44



11.
This record from the Alexandria database describes crystalline TlHg2Cl at its relaxed geometry. The functional is PBEsol.

abc: 4.4283 4.0660 6.4427
angles: 90.00 109.74 90.00
Last column: nearest neighbours and their distance in Å.
Space group Pm (No. 6)
Asymmetric unit:
1 Tl 0.0000 0.0000 0.0000  4 Cl 3.04, 3 Hg 3.18-3.33
2 Hg 0.2179 0.5000 0.4348  1 Cl 2.96, 4 Hg 3.01-3.02
3 Hg 0.7374 0.0000 0.4754  4 Hg 3.01-3.02, 1 Tl 3.18
4 Cl 0.4617 0.5000 0.9221  1 Hg 2.96, 4 Tl 3.04

Results
E above lowest polymorph in meV per atom: 0



12.
This record from the Alexandria database describes crystalline TlHg2Cl at its relaxed geometry. The functional is PBEsol.

abc: 4.3305 4.3305 5.6166
angles: 90.00 90.00 90.00
Last column: nearest neighbours and their distance in Å.
Space group P4/mmm (No. 123)
Asymmetric unit:
1 Tl 0.0000 0.0000 0.0000  4 Cl 3.06
2 Hg 0.0000 0.5000 0.5000  4 Hg 3.06
3 Cl 0.5000 0.5000 0.0000  4 Tl 3.06

Results
E above lowest polymorph in meV per atom: 9



For the records above, the corresponding final energy values read -3.9072 -4.9604 -1.9512 -2.4996 -2.2634 -2.3355 -2.3854 -1.7094 -2.0253 -1.7761 -1.8204 -1.8113 eV per atom.